Here is a geometry-optimized NaDy2Hg9 structure from Alexandria. Energies are from PBE-GGA.

Values from the calculation:
The energy is -16.52 eV/cell. The value obtained for the total magnetization is 0.0000 μB per atom. The value obtained for the formation energy from the elements is -0.274 eV per atom.

a = 4.5955 Å, b = 4.5955 Å, c = 13.9435 Å
α = 90.00°, β = 90.00°, γ = 90.00°
Space group P4/mmm (No. 123)
Symmetry-distinct sites (fractional):
Na: 0.0000 0.0000 0.0000 x1
Dy: 0.0000 0.0000 0.3298 x2
Hg: 0.0000 0.5000 0.1682 x4
Hg: 0.0000 0.5000 0.5000 x2
Hg: 0.5000 0.5000 0.0000 x1
Hg: 0.5000 0.5000 0.3365 x2